Sr2NbWO, relaxed, DFT PBE+U; total DFT energy (no corrections) = -3.65 eV per atom; mass density = 4.6 g/cm3
1.0
6.0162 0.0000 0.0000
0.0000 4.6734 0.0000
0.0000 0.0000 6.0162
Sr Nb O W
2 1 1 1
Direct
0.0000 0.0000 0.5000
0.5000 0.0000 0.0000
0.0000 0.0000 0.0000
0.5000 0.5000 0.5000
0.0000 0.5000 0.0000


Sr2NbWO6, relaxed, DFT PBE+U; total DFT energy (no corrections) = -7.63 eV per atom; mass density = 6.5 g/cm3
1.0
0.0000 4.1210 4.1210
4.1210 0.0000 4.1210
4.1210 4.1210 0.0000
W O Sr Nb
1 6 2 1
Direct
0.5000 0.5000 0.5000
0.2431 0.7569 0.2431
0.2431 0.7569 0.7569
0.7569 0.7569 0.2431
0.7569 0.2431 0.2431
0.2431 0.2431 0.7569
0.7569 0.2431 0.7569
0.2500 0.2500 0.2500
0.7500 0.7500 0.7500
0.0000 0.0000 0.0000


SrNbWO6, relaxed, DFT PBE+U; total DFT energy (no corrections) = -7.86 eV per atom; mass density = 6.1 g/cm3
1.0
5.0158 0.0000 0.0000
0.0000 5.0158 0.0000
0.0000 0.0000 9.9257
O Sr Nb W
12 2 2 2
Direct
0.2725 0.2725 0.3030
0.2695 0.2695 0.6973
0.7725 0.2275 0.8030
0.6683 0.6683 0.0006
0.1683 0.8317 0.5006
0.7694 0.2306 0.1973
0.7306 0.7306 0.6973
0.8317 0.1683 0.5006
0.2306 0.7694 0.1973
0.3317 0.3317 0.0006
0.7275 0.7275 0.3030
0.2275 0.7725 0.8030
0.5000 0.5000 0.4974
0.0000 0.0000 0.9974
0.0000 0.0000 0.3360
0.5000 0.5000 0.8360
0.0000 0.0000 0.6649
0.5000 0.5000 0.1649